one:
VASP calculation (PBE-GGA) on an optimized crystal structure of CsIn3B.

Calculated values
DOS(E_F)	1.174	states/eV/atom
total magnetic moment	1.77	μB/f.u.

Cell: 6.6360 6.6360 6.6360 Å, 90.00 90.00 90.00°
Element x y z (fractional)
Cs 0.0000 0.0000 0.0000
In 0.0000 0.0000 0.5000
In 0.0000 0.5000 0.0000
In 0.5000 0.0000 0.0000
B 0.5000 0.5000 0.5000



two:
VASP calculation (PBE-GGA) on an optimized crystal structure of CsIn3B.

Calculated values
DOS(E_F)	0.925	states/eV/atom
total magnetic moment	0.00	μB/f.u.

Cell: 5.2853 5.2853 5.2853 Å, 90.00 90.00 90.00°
Element x y z (fractional)
Cs 0.0000 0.0000 0.0000
In 0.0000 0.5000 0.5000
In 0.5000 0.0000 0.5000
In 0.5000 0.5000 0.0000
B 0.5000 0.5000 0.5000



The least stable of them is one.



one:
VASP calculation (PBE-GGA) on an optimized crystal structure of CsB2Ir.

Calculated values
DOS(E_F)	0.515	states/eV/atom
total magnetic moment	0.00	μB/f.u.

Cell: 4.5662 4.5662 4.5662 Å, 60.00 60.00 60.00°
Element x y z (fractional)
Cs 0.0000 0.0000 0.0000
B 0.2500 0.2500 0.2500
B 0.7500 0.7500 0.7500
Ir 0.5000 0.5000 0.5000



two:
VASP calculation (PBE-GGA) on an optimized crystal structure of CsB2Ir.

Calculated values
DOS(E_F)	0.624	states/eV/atom
total magnetic moment	0.00	μB/f.u.

Cell: 6.4544 6.4544 6.4544 Å, 60.00 60.00 60.00°
Element x y z (fractional)
Cs 0.1250 0.1250 0.1250
Cs 0.8750 0.8750 0.8750
B 0.0000 0.5000 0.5000
B 0.5000 0.0000 0.5000
B 0.5000 0.5000 0.0000
B 0.5000 0.5000 0.5000
Ir 0.3750 0.3750 0.3750
Ir 0.6250 0.6250 0.6250



The least stable of them is one.



one:
VASP calculation (PBE-GGA) on an optimized crystal structure of CsLa3B.

Calculated values
DOS(E_F)	1.141	states/eV/atom
total magnetic moment	0.00	μB/f.u.

Cell: 5.6227 5.6227 5.6227 Å, 90.00 90.00 90.00°
Element x y z (fractional)
Cs 0.0000 0.0000 0.0000
La 0.0000 0.5000 0.5000
La 0.5000 0.0000 0.5000
La 0.5000 0.5000 0.0000
B 0.5000 0.5000 0.5000



two:
VASP calculation (PBE-GGA) on an optimized crystal structure of CsLa3B.

Calculated values
DOS(E_F)	1.286	states/eV/atom
total magnetic moment	0.00	μB/f.u.

Cell: 5.8211 5.8211 5.8211 Å, 90.00 90.00 90.00°
Element x y z (fractional)
Cs 0.0000 0.0000 0.0000
La 0.0000 0.0000 0.5000
La 0.0000 0.5000 0.0000
La 0.5000 0.0000 0.0000
B 0.5000 0.5000 0.5000



The least stable of them is two.



one:
VASP calculation (PBE-GGA) on an optimized crystal structure of CsMg3B.

Calculated values
DOS(E_F)	0.752	states/eV/atom
total magnetic moment	0.24	μB/f.u.

Cell: 4.9913 4.9913 4.9913 Å, 90.00 90.00 90.00°
Element x y z (fractional)
Cs 0.0000 0.0000 0.0000
Mg 0.0000 0.5000 0.5000
Mg 0.5000 0.0000 0.5000
Mg 0.5000 0.5000 0.0000
B 0.5000 0.5000 0.5000



two:
VASP calculation (PBE-GGA) on an optimized crystal structure of CsMg3B.

Calculated values
DOS(E_F)	2.849	states/eV/atom
total magnetic moment	1.86	μB/f.u.

Cell: 7.4980 7.4980 7.4980 Å, 90.00 90.00 90.00°
Element x y z (fractional)
Cs 0.0000 0.0000 0.0000
Mg 0.0000 0.0000 0.5000
Mg 0.0000 0.5000 0.0000
Mg 0.5000 0.0000 0.0000
B 0.5000 0.5000 0.5000



The least stable of them is two.



one:
VASP calculation (PBE-GGA) on an optimized crystal structure of CsMg6BO7.

Calculated values
total magnetic moment	0.00	μB/f.u.

Cell: 4.2623 4.2623 12.4228 Å, 91.34 91.34 91.09°
Element x y z (fractional)
Cs 0.0000 0.0000 0.0000
Mg 0.0185 0.4975 0.6956
Mg 0.4817 0.9825 0.3363
Mg 0.4951 0.4951 0.5081
Mg 0.4975 0.0185 0.6956
Mg 0.9825 0.4817 0.3363
Mg 0.9923 0.9923 0.5185
B 0.6048 0.6048 0.8156
O 0.9999 0.9999 0.6760
O 0.4590 0.8598 0.8507
O 0.4826 0.4826 0.3374
O 0.4919 0.9949 0.5086
O 0.5043 0.5043 0.6962
O 0.8598 0.4590 0.8507
O 0.9949 0.4919 0.5086



two:
VASP calculation (PBE-GGA) on an optimized crystal structure of CsMg6BO7.

Calculated values
total magnetic moment	0.00	μB/f.u.

Cell: 4.8715 4.8715 7.9350 Å, 90.00 90.00 90.00°
Element x y z (fractional)
Cs 0.0000 0.0000 0.0000
Mg 0.0000 0.5000 0.1857
Mg 0.0000 0.5000 0.6624
Mg 0.5000 0.0000 0.1857
Mg 0.5000 0.0000 0.6624
Mg 0.5000 0.5000 0.4205
Mg 0.5000 0.5000 0.9136
B 0.0000 0.0000 0.4313
O 0.0000 0.0000 0.6017
O 0.0000 0.5000 0.4212
O 0.0000 0.5000 0.9128
O 0.5000 0.0000 0.4212
O 0.5000 0.0000 0.9128
O 0.5000 0.5000 0.1658
O 0.5000 0.5000 0.6682



three:
VASP calculation (PBE-GGA) on an optimized crystal structure of CsMg6BO7.

Calculated values
DOS(E_F)	0.134	states/eV/atom
total magnetic moment	0.00	μB/f.u.

Cell: 4.2762 4.2762 11.7502 Å, 90.00 90.00 90.00°
Element x y z (fractional)
Cs 0.0000 0.0000 0.0000
Mg 0.0000 0.5000 0.3280
Mg 0.0000 0.5000 0.6790
Mg 0.5000 0.0000 0.3280
Mg 0.5000 0.0000 0.6790
Mg 0.5000 0.5000 0.5061
Mg 0.5000 0.5000 0.8443
B 0.0000 0.0000 0.4978
O 0.0000 0.0000 0.3729
O 0.0000 0.0000 0.6151
O 0.0000 0.5000 0.4938
O 0.0000 0.5000 0.8460
O 0.5000 0.0000 0.4938
O 0.5000 0.0000 0.8460
O 0.5000 0.5000 0.6700



The least stable of them is two.



one:
VASP calculation (PBE-GGA) on an optimized crystal structure of CsMnB3.

Calculated values
DOS(E_F)	1.377	states/eV/atom
total magnetic moment	0.14	μB/f.u.

Cell: 4.6892 4.6892 4.6892 Å, 90.00 90.00 90.00°
Element x y z (fractional)
Cs 0.0000 0.0000 0.0000
Mn 0.5000 0.5000 0.5000
B 0.0000 0.0000 0.5000
B 0.0000 0.5000 0.0000
B 0.5000 0.0000 0.0000



two:
VASP calculation (PBE-GGA) on an optimized crystal structure of CsMnB3.

Calculated values
DOS(E_F)	1.077	states/eV/atom
total magnetic moment	0.00	μB/f.u.

Cell: 4.2177 4.2177 4.2177 Å, 90.00 90.00 90.00°
Element x y z (fractional)
Cs 0.0000 0.0000 0.0000
Mn 0.5000 0.5000 0.5000
B 0.0000 0.5000 0.5000
B 0.5000 0.0000 0.5000
B 0.5000 0.5000 0.0000



The least stable of them is one.



one:
VASP calculation (PBE-GGA) on an optimized crystal structure of Cs3BN2.

Calculated values
DOS(E_F)	0.000	states/eV/atom
total magnetic moment	0.00	μB/f.u.

Cell: 7.0761 7.0761 7.0761 Å, 74.91 74.91 74.91°
Element x y z (fractional)
Cs 0.0301 0.7500 0.4699
Cs 0.2500 0.5301 0.9699
Cs 0.4699 0.0301 0.7500
Cs 0.5301 0.9699 0.2500
Cs 0.7500 0.4699 0.0301
Cs 0.9699 0.2500 0.5301
B 0.0000 0.0000 0.0000
B 0.5000 0.5000 0.5000
N 0.0902 0.0902 0.0902
N 0.4098 0.4098 0.4098
N 0.5902 0.5902 0.5902
N 0.9098 0.9098 0.9098



two:
VASP calculation (PBE-GGA) on an optimized crystal structure of Cs3BN2.

Calculated values
total magnetic moment	0.00	μB/f.u.

Cell: 10.0286 10.0286 10.0286 Å, 123.69 123.69 83.71°
Element x y z (fractional)
Cs 0.0015 0.2515 0.7500
Cs 0.1768 0.4268 0.3535
Cs 0.1768 0.8232 0.7500
Cs 0.2515 0.0015 0.2500
Cs 0.4268 0.1768 0.8535
Cs 0.4268 0.5732 0.2500
Cs 0.5732 0.4268 0.7500
Cs 0.5732 0.8232 0.1465
Cs 0.7485 0.9985 0.7500
Cs 0.8232 0.1768 0.2500
Cs 0.8232 0.5732 0.6465
Cs 0.9985 0.7485 0.2500
B 0.2055 0.4555 0.7500
B 0.4555 0.2055 0.2500
B 0.5445 0.7945 0.7500
B 0.7945 0.5445 0.2500
N 0.2016 0.3075 0.6059
N 0.2016 0.5957 0.8941
N 0.3075 0.2016 0.1059
N 0.4043 0.7984 0.6059
N 0.5957 0.2016 0.3941
N 0.6925 0.7984 0.8941
N 0.7984 0.4043 0.1059
N 0.7984 0.6925 0.3941



The least stable of them is two.



one:
VASP calculation (PBE-GGA) on an optimized crystal structure of CsBTe2N.

Calculated values
DOS(E_F)	1.371	states/eV/atom
total magnetic moment	0.00	μB/f.u.

Cell: 6.6764 6.6764 4.1518 Å, 90.00 90.00 90.00°
Element x y z (fractional)
Cs 0.0000 0.0000 0.0000
B 0.5000 0.5000 0.5000
Te 0.0000 0.5000 0.0000
Te 0.5000 0.0000 0.0000
N 0.0000 0.0000 0.5000



two:
VASP calculation (PBE-GGA) on an optimized crystal structure of CsBTe2N.

Calculated values
DOS(E_F)	0.404	states/eV/atom
total magnetic moment	0.00	μB/f.u.

Cell: 7.2703 7.2703 2.8501 Å, 90.00 90.00 90.00°
Element x y z (fractional)
Cs 0.0000 0.0000 0.0000
B 0.5000 0.5000 0.5000
Te 0.0000 0.5000 0.5000
Te 0.5000 0.0000 0.5000
N 0.5000 0.5000 0.0000



The least stable of them is one.